Hg7Sb4Br6: optimized geometry, PBE.

a b c (Å): 13.1107 13.1107 13.1107
angles (deg): 90.00 90.00 90.00
Space group Pa-3 (No. 205)
One atom of each set of equivalent atoms:
Hg 0.0000 0.0000 0.0000 [4 per cell]
Hg 0.0461 0.1759 0.7199 [24 per cell]
Sb 0.1454 0.6454 0.8546 [8 per cell]
Sb 0.2311 0.2311 0.2311 [8 per cell]
Br 0.0459 0.5469 0.2904 [24 per cell]

Output
**Electronic total energy**: -1.961 eV per atom
**Theoretical density**: 6.99 g cm⁻³
**Calculated volume**: 33.1 Å³/atom



MgAgBiPt: optimized geometry, PBE.

a b c (Å): 6.8409 6.8409 6.8409
angles (deg): 90.00 90.00 90.00
Space group F-43m (No. 216)
One atom of each set of equivalent atoms:
Mg 0.0000 0.0000 0.0000 [4 per cell]
Ag 0.2500 0.2500 0.7500 [4 per cell]
Bi 0.0000 0.0000 0.5000 [4 per cell]
Pt 0.2500 0.2500 0.2500 [4 per cell]

Output
**Theoretical density**: 11.13 g cm⁻³
**Calculated volume**: 20.0 Å³/atom
**E above lowest polymorph**: 0.00 eV/f.u.